Entry 1:
NdDyB4 | GGA-PBE | relaxed

The calculation puts the calculated volume at 12.7 Å³ per atom. The crystal system is hexagonal. The value obtained for the distance to the lowest polymorph of the same formula is 0 meV per atom. The magnetic moment is 0.0 μB per cell.

```
NdDyB4
1.0
-0.1278 -3.3095 -0.0443
0.6787 1.6685 -2.7797
7.8131 -0.3246 1.7129
B Dy Nd
4 1 1
Direct
0.6667 0.3333 0.2616
0.3333 0.6667 0.2616
0.6667 0.3333 0.7384
0.3333 0.6667 0.7384
0.0000 0.0000 0.5000
0.0000 0.0000 0.0000
```

Entry 2:
NdDyB4 | GGA-PBE | relaxed

The calculation puts the calculated volume at 12.7 Å³ per atom. The crystal system is orthorhombic. The value obtained for the distance to the lowest polymorph of the same formula is 22 meV per atom. The magnetic moment is 0.0 μB per cell.

```
NdDyB4
1.0
2.4816 -1.0020 4.4572
-2.9954 2.5844 3.3730
0.0175 -4.0379 -3.2747
B Dy Nd
4 1 1
Direct
0.5853 0.2518 0.3335
0.0817 0.7482 0.3335
0.9183 0.2518 0.6665
0.4147 0.7482 0.6665
0.0000 0.0000 0.0000
0.5000 0.5000 0.0000
```

Entry 3:
DyNiB4 | GGA-PBE | relaxed

The calculation puts the calculated volume at 9.5 Å³ per atom. The crystal system is hexagonal. The value obtained for the distance to the lowest polymorph of the same formula is 291 meV per atom. The magnetic moment is 0.0 μB per cell.

```
DyNiB4
1.0
3.1796 0.0000 0.0000
-1.5898 2.7536 0.0000
0.0000 0.0000 6.4785
B Dy Ni
4 1 1
Direct
0.6667 0.3333 0.2938
0.3333 0.6667 0.2938
0.6667 0.3333 0.7062
0.3333 0.6667 0.7062
0.0000 0.0000 0.0000
0.0000 0.0000 0.5000
```

Entry 4:
DyNiB | GGA-PBE | relaxed

The calculation puts the calculated volume at 15.7 Å³ per atom. The crystal system is cubic. The value obtained for the distance to the lowest polymorph of the same formula is 0 meV per atom. The magnetic moment is 0.2 μB per cell.

```
DyNiB
1.0
2.2546 -3.1949 -1.0611
-1.7418 -3.6176 -0.5444
-0.3175 -1.5551 -3.7279
B Dy Ni
1 1 1
Direct
0.0000 0.0000 0.0000
0.2500 0.2500 0.2500
0.7500 0.7500 0.7500
```

Entry 5:
Dy2Ni15B9 | GGA-PBE | relaxed

The calculation puts the calculated volume at 10.0 Å³ per atom. The crystal system is orthorhombic. The magnetic moment is 0.0 μB per cell.

```
Dy2Ni15B9
1.0
7.9441 -5.8168 0.0000
7.9441 5.8168 0.0000
0.0000 0.0000 11.2828
B Dy Ni
36 8 60
Direct
0.1352 0.1352 0.0000
0.8648 0.8648 0.0000
0.2981 0.4073 0.0503
0.5927 0.7019 0.0503
0.5497 0.0507 0.0999
0.9493 0.4503 0.0999
0.9553 0.0447 0.1722
0.5574 0.4426 0.1998
0.6207 0.1210 0.2436
0.8790 0.3793 0.2436
0.1207 0.6210 0.2564
0.3790 0.8793 0.2564
0.0574 0.9426 0.3002
0.4553 0.5447 0.3278
0.0497 0.5507 0.4001
0.4493 0.9503 0.4001
0.0927 0.2019 0.4497
0.7981 0.9073 0.4497
0.3648 0.3648 0.5000
0.6352 0.6352 0.5000
0.2019 0.0927 0.5503
0.9073 0.7981 0.5503
0.5507 0.0497 0.5999
0.9503 0.4493 0.5999
0.5447 0.4553 0.6722
0.9426 0.0574 0.6998
0.6210 0.1207 0.7436
0.8793 0.3790 0.7436
0.1210 0.6207 0.7564
0.3793 0.8790 0.7564
0.4426 0.5574 0.8002
0.0447 0.9553 0.8278
0.0507 0.5497 0.9001
0.4503 0.9493 0.9001
0.4073 0.2981 0.9497
0.7019 0.5927 0.9497
0.2608 0.7392 0.0409
0.1921 0.3079 0.2500
0.6921 0.8079 0.2500
0.7608 0.2392 0.4591
0.2392 0.7608 0.5409
0.3079 0.1921 0.7500
0.8079 0.6921 0.7500
0.7392 0.2608 0.9591
0.0000 0.0000 0.0000
0.5000 0.5000 0.0000
0.3379 0.1359 0.0295
0.8641 0.6621 0.0295
0.1069 0.5527 0.0856
0.4473 0.8931 0.0856
0.7577 0.0285 0.0974
0.9715 0.2423 0.0974
0.4945 0.2728 0.1184
0.7272 0.5055 0.1184
0.1836 0.0088 0.1601
0.9912 0.8164 0.1601
0.3313 0.5108 0.1938
0.4892 0.6687 0.1938
0.7338 0.2662 0.2116
0.4314 0.0686 0.2500
0.9314 0.5686 0.2500
0.2338 0.7662 0.2884
0.8313 0.0108 0.3062
0.9892 0.1687 0.3062
0.4912 0.3164 0.3399
0.6836 0.5088 0.3399
0.2272 0.0055 0.3816
0.9945 0.7728 0.3816
0.2577 0.5285 0.4026
0.4715 0.7423 0.4026
0.6069 0.0527 0.4144
0.9473 0.3931 0.4144
0.3641 0.1621 0.4705
0.8379 0.6359 0.4705
0.0000 0.0000 0.5000
0.5000 0.5000 0.5000
0.1621 0.3641 0.5295
0.6359 0.8379 0.5295
0.0527 0.6069 0.5856
0.3931 0.9473 0.5856
0.5285 0.2577 0.5974
0.7423 0.4715 0.5974
0.0055 0.2272 0.6184
0.7728 0.9945 0.6184
0.3164 0.4912 0.6601
0.5088 0.6836 0.6601
0.0108 0.8313 0.6938
0.1687 0.9892 0.6938
0.7662 0.2338 0.7116
0.0686 0.4314 0.7500
0.5686 0.9314 0.7500
0.2662 0.7338 0.7884
0.5108 0.3313 0.8062
0.6687 0.4892 0.8062
0.0088 0.1836 0.8399
0.8164 0.9912 0.8399
0.2728 0.4945 0.8816
0.5055 0.7272 0.8816
0.0285 0.7577 0.9026
0.2423 0.9715 0.9026
0.5527 0.1069 0.9144
0.8931 0.4473 0.9144
0.1359 0.3379 0.9705
0.6621 0.8641 0.9705
```

Entry 6:
Dy3Ni19B10 | GGA-PBE | relaxed

The calculation puts the calculated volume at 10.4 Å³ per atom. The crystal system is monoclinic. The magnetic moment is 0.0 μB per cell.

```
Dy3Ni19B10
1.0
0.1379 0.0000 -5.7750
-6.5944 -4.3676 0.0062
-6.5944 4.3676 0.0062
B Dy Ni
10 3 19
Direct
0.5690 0.6993 0.0648
0.9751 0.3489 0.1427
0.4310 0.9352 0.3007
0.9751 0.1427 0.3489
0.0000 0.6161 0.3839
0.0000 0.3839 0.6161
0.0249 0.8573 0.6511
0.5690 0.0648 0.6993
0.0249 0.6511 0.8573
0.4310 0.3007 0.9352
0.0000 0.0000 0.0000
0.6129 0.3739 0.3739
0.3871 0.6261 0.6261
0.5000 0.0000 0.0000
0.3019 0.5178 0.0452
0.9258 0.6222 0.1219
0.7029 0.1624 0.1624
0.2710 0.1821 0.1821
0.3011 0.7118 0.2295
0.6989 0.7705 0.2882
0.0742 0.8781 0.3778
0.1251 0.3780 0.3780
0.6981 0.9548 0.4822
0.3019 0.0452 0.5178
0.8749 0.6220 0.6220
0.9258 0.1219 0.6222
0.3011 0.2295 0.7118
0.6989 0.2882 0.7705
0.7290 0.8179 0.8179
0.2971 0.8376 0.8376
0.0742 0.3778 0.8781
0.6981 0.4822 0.9548
```

Entry 7:
DyNiB4 | GGA-PBE | relaxed

The calculation puts the calculated volume at 10.2 Å³ per atom. The crystal system is orthorhombic. The value obtained for the distance to the lowest polymorph of the same formula is 423 meV per atom. The magnetic moment is 0.0 μB per cell.

```
DyNiB4
1.0
-1.5697 2.6385 3.7061
1.5697 -2.6385 3.7061
1.5697 2.6385 -3.7061
B Dy Ni
4 1 1
Direct
0.5819 0.2543 0.3277
0.0734 0.7457 0.3277
0.9266 0.2543 0.6723
0.4181 0.7457 0.6723
0.0000 0.0000 0.0000
0.5000 0.5000 0.0000
```

Entry 8:
DyNi12B6 | GGA-PBE | relaxed

The calculation puts the calculated volume at 10.2 Å³ per atom. The crystal system is orthorhombic. The magnetic moment is 0.0 μB per cell.

```
DyNi12B6
1.0
4.7804 -3.6868 0.0000
4.7804 3.6868 0.0000
0.0000 0.0000 10.9848
B Dy Ni
12 2 24
Direct
0.4013 0.0116 0.1228
0.9884 0.5987 0.1228
0.4876 0.5124 0.1537
0.8359 0.1641 0.3391
0.3267 0.2426 0.3849
0.7574 0.6733 0.3849
0.0116 0.4013 0.6228
0.5987 0.9884 0.6228
0.5124 0.4876 0.6537
0.1641 0.8359 0.8391
0.2426 0.3267 0.8849
0.6733 0.7574 0.8849
0.1659 0.8341 0.4956
0.8341 0.1659 0.9956
0.2700 0.3409 0.0677
0.6591 0.7300 0.0677
0.2175 0.7825 0.0986
0.5441 0.1949 0.2335
0.8051 0.4559 0.2335
0.1450 0.1185 0.2559
0.8815 0.8550 0.2559
0.2125 0.5260 0.2762
0.4740 0.7875 0.2762
0.5654 0.4346 0.4193
0.6307 0.0031 0.4373
0.9969 0.3693 0.4373
0.3409 0.2700 0.5677
0.7300 0.6591 0.5677
0.7825 0.2175 0.5986
0.1949 0.5441 0.7335
0.4559 0.8051 0.7335
0.1185 0.1450 0.7559
0.8550 0.8815 0.7559
0.5260 0.2125 0.7762
0.7875 0.4740 0.7762
0.4346 0.5654 0.9193
0.0031 0.6307 0.9373
0.3693 0.9969 0.9373
```

Entry 9:
DyNi12B6 | GGA-PBE | relaxed

The calculation puts the calculated volume at 10.1 Å³ per atom. The crystal system is trigonal. The magnetic moment is 0.0 μB per cell.

```
DyNi12B6
1.0
-4.2064 -4.2839 0.3646
-1.1965 3.6716 4.6115
-1.5151 3.1770 -4.8774
B Dy Ni
6 1 12
Direct
0.6715 0.2361 0.2361
0.2361 0.6715 0.2361
0.7639 0.7639 0.3285
0.2361 0.2361 0.6715
0.7639 0.3285 0.7639
0.3285 0.7639 0.7639
0.0000 0.0000 0.0000
0.8698 0.5000 0.1302
0.5000 0.8698 0.1302
0.4528 0.4528 0.1861
0.4528 0.1861 0.4528
0.1861 0.4528 0.4528
0.8698 0.1302 0.5000
0.1302 0.8698 0.5000
0.8139 0.5472 0.5472
0.5472 0.8139 0.5472
0.5472 0.5472 0.8139
0.5000 0.1302 0.8698
0.1302 0.5000 0.8698
```

Entry 10:
DyNiB4 | GGA-PBE | relaxed

The calculation puts the calculated volume at 10.0 Å³ per atom. The crystal system is tetragonal. The value obtained for the distance to the lowest polymorph of the same formula is 0 meV per atom. The magnetic moment is 0.0 μB per cell.

```
DyNiB4
1.0
-3.7633 -3.7633 -4.2543
-3.7633 3.7633 4.2543
3.7633 3.7633 -4.2543
B Dy Ni
16 4 4
Direct
0.2754 0.3869 0.1115
0.7246 0.8361 0.1115
0.1137 0.5329 0.1137
0.5808 0.0000 0.1137
0.1115 0.3869 0.2754
0.8885 0.1639 0.2754
0.4192 0.5329 0.4192
0.8863 0.0000 0.4192
0.1137 0.0000 0.5808
0.5808 0.4671 0.5808
0.8885 0.6131 0.7246
0.1115 0.8361 0.7246
0.4192 0.0000 0.8863
0.8863 0.4671 0.8863
0.2754 0.1639 0.8885
0.7246 0.6131 0.8885
0.2028 0.0000 0.2028
0.7500 0.5000 0.2500
0.2500 0.5000 0.7500
0.7972 0.0000 0.7972
0.5000 0.7712 0.2712
0.2712 0.7712 0.5000
0.7288 0.2288 0.5000
0.5000 0.2288 0.7288
```

Entry 11:
DyNiB | GGA-PBE | relaxed

The calculation puts the calculated volume at 16.3 Å³ per atom. The crystal system is cubic. The value obtained for the distance to the lowest polymorph of the same formula is 246 meV per atom. The magnetic moment is 0.5 μB per cell.

```
DyNiB
1.0
0.0000 2.9004 2.9004
2.9004 0.0000 2.9004
2.9004 2.9004 0.0000
B Dy Ni
1 1 1
Direct
0.2500 0.2500 0.2500
0.7500 0.7500 0.7500
0.0000 0.0000 0.0000
```

Entry 12:
Dy3Ni13B2 | GGA-PBE | relaxed

The calculation puts the calculated volume at 12.9 Å³ per atom. The crystal system is hexagonal. The magnetic moment is 1.4 μB per cell.

```
Dy3Ni13B2
1.0
4.9515 0.0004 0.0000
-2.4754 4.2883 0.0000
0.0000 0.0000 10.9248
B Dy Ni
2 3 13
Direct
0.3334 0.6667 0.0000
0.6667 0.3334 0.0000
0.0000 0.0000 0.0000
0.0000 0.0000 0.3268
0.0000 0.0000 0.6732
0.5000 0.0000 0.1330
0.0000 0.5000 0.1330
0.5000 0.5000 0.1330
0.6666 0.3333 0.3186
0.3333 0.6666 0.3186
0.5000 0.0000 0.5000
0.0000 0.5000 0.5000
0.5000 0.5000 0.5000
0.3334 0.6667 0.6814
0.6667 0.3334 0.6814
0.5000 0.5000 0.8670
0.5000 0.0000 0.8670
0.0000 0.5000 0.8670
```

Energy per entry: -6.440, -6.419, -6.435, -5.551, -6.295, -6.258, -6.304, -6.261, -6.259, -6.726, -5.305, -5.969 eV/atom